{
  "formula": "Ca2InTc",
  "functional": "meta-GGA SCAN",
  "state": "single point on PBEsol structure",
  "dft_energy_ev_per_atom": -21.74,
  "sg": "Amm2 (38)",
  "total_magnetization_mub_per_fu": 0.89,
  "formation_energy_ev_per_atom": 0.2066,
  "lattice_angstrom": [[4.5673, 0.0000, 0.0000], [0.0000, 3.8186, 0.0000], [0.0000, 0.0000, 11.5863]],
  "species": ["Ca", "Ca", "Ca", "Ca", "In", "In", "Tc", "Tc"],
  "fractional_positions": [[0.0000, 0.0000, 0.0000], [0.0000, 0.5000, 0.5000], [0.5000, 0.0000, 0.3027], [0.5000, 0.5000, 0.8027], [0.0000, 0.0000, 0.7110], [0.0000, 0.5000, 0.2110], [0.5000, 0.0000, 0.5898], [0.5000, 0.5000, 0.0898]]
}